[1]
An optimized crystal structure of DyNiC2, computed with PBE.

Energy of formation from the pure elements ... -0.335 eV/atom
Symmetry ... No. 38
Size of the total moment ... 0.0 μB/f.u.

a = 3.7585 Å, b = 3.7585 Å, c = 3.5897 Å
α = 90.00°, β = 90.00°, γ = 106.10°
Fractional positions:
Ni 0.3866 0.6134 0.5000
C 0.5457 0.1503 0.5000
C 0.8497 0.4543 0.5000
Dy 0.9980 0.0020 0.0000

[2]
An optimized crystal structure of DyNi4C2, computed with PBE.

Energy of formation from the pure elements ... -0.059 eV/atom
Symmetry ... No. 65
Size of the total moment ... 0.0 μB/f.u.

a = 3.4793 Å, b = 3.4692 Å, c = 6.7603 Å
α = 104.87°, β = 90.00°, γ = 90.00°
Fractional positions:
Dy 0.0000 0.0000 0.0000
Ni 0.5000 0.8233 0.6466
Ni 0.0000 0.6745 0.3490
Ni 0.5000 0.1767 0.3534
Ni 0.0000 0.3255 0.6510
C 0.5000 0.6116 0.2233
C 0.5000 0.3884 0.7767

[3]
An optimized crystal structure of DyNiC, computed with PBE.

Energy of formation from the pure elements ... -0.162 eV/atom
Symmetry ... No. 187
Size of the total moment ... 0.0 μB/f.u.

a = 3.7882 Å, b = 3.5201 Å, c = 3.5201 Å
α = 120.00°, β = 90.00°, γ = 90.00°
Fractional positions:
Ni 0.1668 0.3333 0.6667
C 0.1663 0.0000 0.0000
Dy 0.6669 0.6667 0.3333